[1]
# Tb3Pr4MgTe8, optimized geometry, DFT PBE-GGA
data_Tb3Pr4MgTe8
_cell_length_a 9.045
_cell_length_b 9.045
_cell_length_c 9.045
_cell_angle_alpha 57.72
_cell_angle_beta 57.72
_cell_angle_gamma 57.72
_symmetry_space_group_name_H-M 'P 1'
_symmetry_Int_Tables_number 1
_symmetry_space_group_name_Hall 'P 1'
loop_
_atom_site_label
_atom_site_type_symbol
_atom_site_fract_x
_atom_site_fract_y
_atom_site_fract_z
Tb1 Tb 0.000 0.500 0.500
Tb2 Tb 0.500 0.000 0.500
Tb3 Tb 0.500 0.500 0.000
Pr1 Pr 0.000 0.000 0.500
Pr2 Pr 0.000 0.500 0.000
Pr3 Pr 0.500 0.000 0.000
Pr4 Pr 0.500 0.500 0.500
Mg1 Mg 0.000 0.000 0.000
Te1 Te 0.238 0.238 0.754
Te2 Te 0.238 0.754 0.238
Te3 Te 0.246 0.762 0.762
Te4 Te 0.254 0.254 0.254
Te5 Te 0.746 0.746 0.746
Te6 Te 0.754 0.238 0.238
Te7 Te 0.762 0.246 0.762
Te8 Te 0.762 0.762 0.246
# - Crystal system: trigonal
# - Total DFT energy (no corrections): -5.03 eV per atom
# - Raw formation energy: -1297 meV per atom
# - Total magnetic moment: 0.0 μB/cell

---

[2]
# LiMg2Zn2Cu5, optimized geometry, DFT PBE-GGA
data_LiMg2Zn2Cu5
_cell_length_a 8.894
_cell_length_b 8.894
_cell_length_c 3.737
_cell_angle_alpha 90.00
_cell_angle_beta 90.00
_cell_angle_gamma 90.00
_symmetry_space_group_name_H-M 'P 1'
_symmetry_Int_Tables_number 1
_symmetry_space_group_name_Hall 'P 1'
loop_
_atom_site_label
_atom_site_type_symbol
_atom_site_fract_x
_atom_site_fract_y
_atom_site_fract_z
Li1 Li 0.000 0.000 0.000
Li2 Li 0.500 0.500 0.000
Mg1 Mg 0.174 0.326 0.000
Mg2 Mg 0.326 0.826 0.000
Mg3 Mg 0.674 0.174 0.000
Mg4 Mg 0.826 0.674 0.000
Zn1 Zn 0.125 0.625 0.000
Zn2 Zn 0.375 0.125 0.000
Zn3 Zn 0.625 0.875 0.000
Zn4 Zn 0.875 0.375 0.000
Cu1 Cu 0.000 0.500 0.500
Cu2 Cu 0.064 0.803 0.500
Cu3 Cu 0.197 0.064 0.500
Cu4 Cu 0.303 0.564 0.500
Cu5 Cu 0.436 0.303 0.500
Cu6 Cu 0.500 0.000 0.500
Cu7 Cu 0.564 0.697 0.500
Cu8 Cu 0.697 0.436 0.500
Cu9 Cu 0.803 0.936 0.500
Cu10 Cu 0.936 0.197 0.500
# - Crystal system: tetragonal
# - Total DFT energy (no corrections): -2.83 eV per atom
# - Total magnetic moment: 0.0 μB/cell
# - Energy relative to the elements: -0.22 eV/f.u.

---

[3]
# MgSeBr2F, optimized geometry, DFT PBE-GGA
data_MgSeBr2F
_cell_length_a 5.581
_cell_length_b 5.581
_cell_length_c 3.946
_cell_angle_alpha 90.00
_cell_angle_beta 90.00
_cell_angle_gamma 90.00
_symmetry_space_group_name_H-M 'P 1'
_symmetry_Int_Tables_number 1
_symmetry_space_group_name_Hall 'P 1'
loop_
_atom_site_label
_atom_site_type_symbol
_atom_site_fract_x
_atom_site_fract_y
_atom_site_fract_z
Mg1 Mg 0.000 0.000 0.000
Se1 Se 0.500 0.500 0.000
Br1 Br 0.000 0.500 0.500
Br2 Br 0.500 0.000 0.500
F1 F 0.500 0.500 0.500
# - Energy above the most stable polymorph in this dataset: 60 meV per atom
# - Crystal system: tetragonal
# - Total DFT energy (no corrections): -2.30 eV per atom
# - Raw formation energy: -239 meV per atom
# - Total magnetic moment: 1.0 μB/cell

---

[4]
# HoTl2AgF6, optimized geometry, DFT PBE-GGA
data_HoTl2AgF6
_cell_length_a 6.373
_cell_length_b 6.469
_cell_length_c 11.219
_cell_angle_alpha 90.00
_cell_angle_beta 123.95
_cell_angle_gamma 90.00
_symmetry_space_group_name_H-M 'P 1'
_symmetry_Int_Tables_number 1
_symmetry_space_group_name_Hall 'P 1'
loop_
_atom_site_label
_atom_site_type_symbol
_atom_site_fract_x
_atom_site_fract_y
_atom_site_fract_z
Ho1 Ho 0.000 0.000 0.000
Ho2 Ho 0.000 0.500 0.500
Tl1 Tl 0.261 0.036 0.752
Tl2 Tl 0.261 0.464 0.252
Tl3 Tl 0.739 0.536 0.748
Tl4 Tl 0.739 0.964 0.248
Ag1 Ag 0.500 0.000 0.500
Ag2 Ag 0.500 0.500 0.000
F1 F 0.145 0.028 0.227
F2 F 0.145 0.472 0.727
F3 F 0.233 0.726 0.045
F4 F 0.233 0.774 0.545
F5 F 0.312 0.192 0.036
F6 F 0.312 0.308 0.536
F7 F 0.688 0.692 0.464
F8 F 0.688 0.808 0.964
F9 F 0.767 0.226 0.455
F10 F 0.767 0.274 0.955
F11 F 0.855 0.528 0.273
F12 F 0.855 0.972 0.773
# - Crystal system: monoclinic
# - Total DFT energy (no corrections): -4.90 eV per atom
# - Raw formation energy: -2562 meV per atom
# - Total magnetic moment: 0.2 μB/cell

---

[5]
# Re2PCl, optimized geometry, DFT PBE-GGA
data_Re2PCl
_cell_length_a 9.905
_cell_length_b 9.905
_cell_length_c 9.905
_cell_angle_alpha 16.90
_cell_angle_beta 16.90
_cell_angle_gamma 16.90
_symmetry_space_group_name_H-M 'P 1'
_symmetry_Int_Tables_number 1
_symmetry_space_group_name_Hall 'P 1'
loop_
_atom_site_label
_atom_site_type_symbol
_atom_site_fract_x
_atom_site_fract_y
_atom_site_fract_z
Re1 Re 0.000 0.000 0.000
Re2 Re 0.259 0.259 0.259
P1 P 0.728 0.728 0.728
Cl1 Cl 0.528 0.528 0.528
# - Energy above the most stable polymorph in this dataset: 112 meV per atom
# - Crystal system: trigonal
# - Total DFT energy (no corrections): -7.90 eV per atom
# - Raw formation energy: 137 meV per atom
# - Total magnetic moment: 0.0 μB/cell

---

[6]
# KS2NCl, optimized geometry, DFT PBE-GGA
data_KS2NCl
_cell_length_a 3.998
_cell_length_b 3.998
_cell_length_c 8.282
_cell_angle_alpha 90.00
_cell_angle_beta 90.00
_cell_angle_gamma 90.00
_symmetry_space_group_name_H-M 'P 1'
_symmetry_Int_Tables_number 1
_symmetry_space_group_name_Hall 'P 1'
loop_
_atom_site_label
_atom_site_type_symbol
_atom_site_fract_x
_atom_site_fract_y
_atom_site_fract_z
K1 K 0.000 0.000 0.000
S1 S 0.000 0.500 0.500
S2 S 0.500 0.000 0.500
N1 N 0.500 0.500 0.500
Cl1 Cl 0.500 0.500 0.000
# - Energy above the most stable polymorph in this dataset: 0 meV per atom
# - Crystal system: tetragonal
# - Total DFT energy (no corrections): -3.64 eV per atom
# - Raw formation energy: 269 meV per atom
# - Total magnetic moment: 0.0 μB/cell

---

[7]
# TeP3, optimized geometry, DFT PBE-GGA
data_TeP3
_cell_length_a 6.767
_cell_length_b 6.767
_cell_length_c 6.767
_cell_angle_alpha 31.34
_cell_angle_beta 31.34
_cell_angle_gamma 31.34
_symmetry_space_group_name_H-M 'P 1'
_symmetry_Int_Tables_number 1
_symmetry_space_group_name_Hall 'P 1'
loop_
_atom_site_label
_atom_site_type_symbol
_atom_site_fract_x
_atom_site_fract_y
_atom_site_fract_z
Te1 Te 0.000 0.000 0.000
P1 P 0.236 0.236 0.236
P2 P 0.500 0.500 0.500
P3 P 0.764 0.764 0.764
# - Energy above the most stable polymorph in this dataset: 85 meV per atom
# - Crystal system: trigonal
# - Total DFT energy (no corrections): -4.56 eV per atom
# - Raw formation energy: 284 meV per atom
# - Total magnetic moment: 0.0 μB/cell